Entry 1:
Computed, not measured: a relaxed YCdCu crystal at the PBE-GGA level of DFT.

abc: 4.637 4.637 4.637
angles: 60.00 60.00 60.00
Sites, in units of the cell vectors:
Cd 0.500 0.500 0.500
Cu 0.750 0.750 0.750
Y 0.000 0.000 0.000

Results
Crystal system: cubic
Theoretical density: 6.2 Mg/m³
Electronic total energy: -11.9 eV per cell
Size of the total moment: 0.00 μB/cell
Energy of formation: -0.1441 eV/atom



Entry 2:
Computed, not measured: a relaxed Y3Cd2Cu crystal at the PBE-GGA level of DFT.

abc: 3.600 3.600 11.411
angles: 90.00 90.00 90.00
Sites, in units of the cell vectors:
Y 0.000 0.000 0.000
Y 0.000 0.000 0.647
Y 0.000 0.000 0.353
Cd 0.500 0.500 0.826
Cd 0.500 0.500 0.174
Cu 0.500 0.500 0.500

Results
Crystal system: tetragonal
Theoretical density: 6.2 Mg/m³
Electronic total energy: -27.1 eV per cell
Size of the total moment: 0.00 μB/cell
Energy of formation: -0.3026 eV/atom



Entry 3:
Computed, not measured: a relaxed Y2CdCu3 crystal at the PBE-GGA level of DFT.

abc: 5.722 5.722 8.407
angles: 105.14 105.14 103.45
Sites, in units of the cell vectors:
Y 0.250 0.750 0.500
Y 0.758 0.758 0.000
Y 0.750 0.250 0.500
Y 0.242 0.242 0.000
Cd 0.666 0.666 0.332
Cd 0.334 0.334 0.668
Cu 0.323 0.840 0.163
Cu 0.160 0.677 0.837
Cu 0.677 0.160 0.837
Cu 0.840 0.323 0.163
Cu 0.161 0.161 0.322
Cu 0.839 0.839 0.678

Results
Crystal system: orthorhombic
Theoretical density: 6.6 Mg/m³
Electronic total energy: -54.8 eV per cell
Size of the total moment: 0.00 μB/cell
Energy of formation: -0.2081 eV/atom